1.
MgTlInBi2 | GGA-PBE | optimized geometry

Values from the calculation:
Its total energy is -14.8 eV for the cell shown. Its space group is P3m1, No. 156. The volume comes out at 169 Å³ per cell.

POSCAR file:
```
MgTlInBi2
1.0
4.866 0.000 0.000
-2.433 4.214 0.000
0.000 0.000 8.262
Mg Tl In Bi
1 1 1 2
Direct
0.000 0.000 0.000 Mg
0.667 0.333 0.353 Tl
0.333 0.667 0.758 In
0.000 0.000 0.617 Bi
0.333 0.667 0.124 Bi
```

2.
MgTlInBi | GGA-PBE | optimized geometry

Values from the calculation:
Its total energy is -10.6 eV for the cell shown. Its space group is F-43m, No. 216. The volume comes out at 114 Å³ per cell. The calculation puts the relative energy among the computed polymorphs at 39 meV/atom.

POSCAR file:
```
MgTlInBi
1.0
0.000 3.844 3.844
3.844 0.000 3.844
3.844 3.844 0.000
Mg Tl In Bi
1 1 1 1
Direct
0.000 0.000 0.000 Mg
0.750 0.750 0.750 Tl
0.500 0.500 0.500 In
0.250 0.250 0.250 Bi
```

3.
Mg2TlIn2Bi2 | GGA-PBE | optimized geometry

Values from the calculation:
Its total energy is -19.0 eV for the cell shown. Its space group is C2/m, No. 12. The volume comes out at 205 Å³ per cell.

POSCAR file:
```
Mg2TlIn2Bi2
1.0
4.794 -2.748 0.000
4.794 2.748 0.000
-3.222 0.000 7.791
Mg Tl In Bi
2 1 2 2
Direct
0.131 0.131 0.389 Mg
0.869 0.869 0.611 Mg
0.000 0.000 0.000 Tl
0.433 0.433 0.294 In
0.567 0.567 0.706 In
0.256 0.256 0.770 Bi
0.744 0.744 0.230 Bi
```

4.
MnInBi3 | GGA-PBE | optimized geometry

Values from the calculation:
Its total energy is -21.3 eV for the cell shown. Its space group is Pm-3m, No. 221. The volume comes out at 141 Å³ per cell. The calculation puts the relative energy among the computed polymorphs at 0 meV/atom.

POSCAR file:
```
MnInBi3
1.0
5.207 0.000 0.000
0.000 5.207 0.000
0.000 0.000 5.207
Mn In Bi
1 1 3
Direct
0.000 0.000 0.000 Mn
0.500 0.500 0.500 In
0.000 0.000 0.500 Bi
0.000 0.500 0.000 Bi
0.500 0.000 0.000 Bi
```

5.
Mn3InBi | GGA-PBE | optimized geometry

Values from the calculation:
Its total energy is -29.2 eV for the cell shown. Its space group is Pm-3m, No. 221. The volume comes out at 127 Å³ per cell. The calculation puts the relative energy among the computed polymorphs at 0 meV/atom.

POSCAR file:
```
Mn3InBi
1.0
5.032 0.000 0.000
0.000 5.032 0.000
0.000 0.000 5.032
Mn In Bi
3 1 1
Direct
0.000 0.000 0.500 Mn
0.000 0.500 0.000 Mn
0.500 0.000 0.000 Mn
0.000 0.000 0.000 In
0.500 0.500 0.500 Bi
```